VASP calculation (GGA-PBE) on a relaxed structure of Ho2InSi4Pt3.

Geometry as POSCAR:
```
Ho2InSi4Pt3
1.0
4.1628 0.0000 0.0000
0.0000 4.1628 0.0000
0.0000 0.0000 10.4275
Ho In Si Pt
2 1 4 3
Direct
0.0000 0.5000 0.2397
0.5000 0.0000 0.7603
0.0000 0.0000 0.5000
0.0000 0.0000 0.0000
0.0000 0.5000 0.6537
0.5000 0.0000 0.3463
0.5000 0.5000 0.0000
0.0000 0.5000 0.8795
0.5000 0.0000 0.1205
0.5000 0.5000 0.5000
```

## Properties
The uncorrected formation energy comes out at -870 meV/atom. For the total magnetic moment, the calculation gives 0.00 Bohr magnetons per cell. The value obtained for the density of states at the Fermi level is 2.72 states/eV/f.u.